# 1
Pr3TmSn12 | PBE | relaxed

## Properties
Formation energy in eV/atom: -0.48
Theoretical density in Mg/m³: 7.73

Cell lengths 4.786, 4.786, 18.911 Å; angles 90.00, 90.00, 90.00 degrees
Space group P4/mmm (No. 123)
Asymmetric unit:
Pr  0.000  0.000  0.000
Pr  0.000  0.000  0.252
Tm  0.000  0.000  0.500
Sn  0.000  0.500  0.127
Sn  0.000  0.500  0.380
Sn  0.500  0.500  0.000
Sn  0.500  0.500  0.254
Sn  0.500  0.500  0.500


# 2
CaTi2Fe | PBE | relaxed

## Properties
Formation energy in eV/atom: 0.51
Theoretical density in Mg/m³: 4.68

Cell lengths 6.479, 6.479, 6.479 Å; angles 90.00, 90.00, 90.00 degrees
Space group Fm-3m (No. 225)
Asymmetric unit:
Ca  0.000  0.000  0.000
Ti  0.250  0.250  0.250
Fe  0.000  0.000  0.500


# 3
Ac4CoHg2 | PBE | relaxed

## Properties
Formation energy in eV/atom: -0.28
Theoretical density in Mg/m³: 9.43

Cell lengths 14.543, 4.229, 9.494 Å; angles 90.00, 124.44, 90.00 degrees
Space group C2/m (No. 12)
Asymmetric unit:
Ac  0.085  0.000  0.362
Ac  0.154  0.500  0.067
Co  0.000  0.000  0.000
Hg  0.124  0.500  0.676


# 4
LuTiCoIr | PBE | relaxed

## Properties
Formation energy in eV/atom: -0.55
Theoretical density in Mg/m³: 12.07

Cell lengths 6.389, 6.389, 6.389 Å; angles 90.00, 90.00, 90.00 degrees
Space group F-43m (No. 216)
Asymmetric unit:
Lu  0.000  0.000  0.000
Ti  0.000  0.000  0.500
Co  0.250  0.250  0.250
Ir  0.250  0.250  0.750


# 5
Mg3BiRh | PBE | relaxed

## Properties
Formation energy in eV/atom: -0.28
Theoretical density in Mg/m³: 5.79

Cell lengths 8.652, 8.005, 3.186 Å; angles 90.00, 90.00, 90.00 degrees
Space group Pma2 (No. 28)
Asymmetric unit:
Mg  0.045  0.234  0.000
Mg  0.250  0.551  0.000
Bi  0.250  0.959  0.503
Rh  0.000  0.500  0.500


# 6
PrSm8Tl2 | PBE | relaxed

## Properties
Formation energy in eV/atom: -0.05
Theoretical density in Mg/m³: 8.19

Cell lengths 17.362, 6.739, 6.229 Å; angles 90.00, 102.89, 90.00 degrees
Space group C2/m (No. 12)
Asymmetric unit:
Pr  0.000  0.000  0.000
Sm  0.005  0.500  0.744
Sm  0.130  0.000  0.584
Sm  0.175  0.260  0.122
Tl  0.177  0.500  0.604


# 7
TeBrF | PBE | relaxed

## Properties
Theoretical density in Mg/m³: 3.88
Raw formation energy in meV per atom: -944

Cell lengths 4.131, 6.427, 7.771 Å; angles 106.03, 98.51, 95.63 degrees
Space group P1 (No. 1)
Asymmetric unit:
Te  0.000  0.000  0.000
Te  0.449  0.780  0.170
Br  0.325  0.178  0.388
Br  0.815  0.737  0.680
F  0.072  0.620  0.240
F  0.404  0.516  0.963


# 8
ReS2ICl | PBE | relaxed

## Properties
Theoretical density in Mg/m³: 6.42
Raw formation energy in meV per atom: 259

Cell lengths 4.667, 4.667, 4.900 Å; angles 90.00, 90.00, 90.00 degrees
Space group P4/mmm (No. 123)
Asymmetric unit:
Re  0.000  0.000  0.000
S  0.000  0.500  0.000
I  0.500  0.500  0.500
Cl  0.000  0.000  0.500


# 9
CeSm2TmN4 | PBE | relaxed

## Properties
Theoretical density in Mg/m³: 8.87
Raw formation energy in meV per atom: -1570

Cell lengths 6.100, 3.537, 6.118 Å; angles 90.00, 109.26, 90.00 degrees
Space group P2/m (No. 10)
Asymmetric unit:
Ce  0.000  0.000  0.000
Sm  0.000  0.500  0.500
Sm  0.500  0.000  0.500
Tm  0.500  0.500  0.000
N  0.248  0.500  0.238
N  0.254  0.000  0.763


# 10
Hf6In3Pt | PBE | relaxed

## Properties
Formation energy in eV/atom: -0.08
Theoretical density in Mg/m³: 11.70

Cell lengths 5.232, 9.266, 10.718 Å; angles 90.00, 118.42, 90.00 degrees
Space group P2_1/c (No. 14)
Asymmetric unit:
Hf  0.010  0.220  0.421
Hf  0.357  0.142  0.236
Hf  0.380  0.674  0.464
In  0.128  0.069  0.727
In  0.500  0.000  0.500
Pt  0.000  0.000  0.000


# 11
PmAgPb2S4 | PBE | relaxed

## Properties
Theoretical density in Mg/m³: 6.65
Raw formation energy in meV per atom: -865

Cell lengths 7.009, 4.129, 7.289 Å; angles 90.00, 109.54, 90.00 degrees
Space group P2/m (No. 10)
Asymmetric unit:
Pm  0.000  0.000  0.000
Ag  0.500  0.500  0.000
Pb  0.000  0.500  0.500
Pb  0.500  0.000  0.500
S  0.239  0.500  0.234
S  0.255  0.000  0.769


# 12
ScPt2Se | PBE | relaxed

## Properties
Theoretical density in Mg/m³: 12.42
Raw formation energy in meV per atom: -713

Cell lengths 3.585, 4.280, 4.479 Å; angles 90.00, 90.00, 90.00 degrees
Space group Pmmm (No. 47)
Asymmetric unit:
Sc  0.000  0.000  0.000
Pt  0.000  0.500  0.500
Pt  0.500  0.000  0.500
Se  0.500  0.500  0.000


no.,total DFT energy (no corrections) (eV per atom)
1,-4.653
2,-6.058
3,-3.727
4,-7.648
5,-3.488
6,-4.342
7,-3.173
8,-4.561
9,-8.213
10,-7.481
11,-4.806
12,-6.187